No. 1
Computed, not measured: an optimized crystal structure of PrHoCu2 at the PBE level of DFT.

Properties
Energy above the most stable polymorph in this dataset, meV per atom: 28
E_form, eV per formula unit: -0.69
D(E_F), states/eV per atom: 1.03

Cell: 5.008 5.008 5.008 Å, 60.00 60.00 60.00°
Fractional coordinates of all 4 atoms:
Pr: 0.000 0.000 0.000
Ho: 0.500 0.500 0.500
Cu: 0.250 0.250 0.250
Cu: 0.750 0.750 0.750

***

No. 2
Computed, not measured: an optimized crystal structure of PrHoCu at the PBE level of DFT.

Properties
Energy above the most stable polymorph in this dataset, meV per atom: 0
E_form, eV per formula unit: -0.33
D(E_F), states/eV per atom: 1.00

Cell: 4.784 4.780 7.033 Å, 90.00 90.03 90.00°
Fractional coordinates of all 6 atoms:
Pr: 0.980 0.993 0.491
Pr: 0.480 0.493 0.267
Ho: 0.481 0.993 0.879
Ho: 0.980 0.493 0.879
Cu: 0.981 0.993 0.095
Cu: 0.481 0.493 0.662